1.
## Sc2SeN (meta-GGA SCAN)

Data for a PBEsol-optimized structure of Sc2SeN.

Cell: 4.373 4.373 4.373 Å, 60.00 60.00 60.00°
Element x y z (fractional)
Sc 0.750 0.750 0.750
Sc 0.250 0.250 0.250
Se 0.500 0.500 0.500
N 0.000 0.000 0.000

Output
The value obtained for the volume is 14.787 Å³ per atom. The calculation puts the calculated total energy at -15.320 eV per atom. The value obtained for the offset from the most stable computed form is 0.830 eV per atom. The formation energy from raw total energies is -0.859 eV/atom.

=====

2.
## SrScSe2N (meta-GGA SCAN)

Data for a PBEsol-optimized structure of SrScSe2N.

Cell: 4.158 5.231 5.231 Å, 90.00 90.00 90.00°
Element x y z (fractional)
Se 0.000 0.500 0.000
Se 0.000 0.000 0.500
Sc 0.000 0.000 0.000
N 0.500 0.000 0.000
Sr 0.500 0.500 0.500

Output
The value obtained for the volume is 22.757 Å³ per atom. The calculation puts the calculated total energy at -18.394 eV per atom. The formation energy from raw total energies is -1.202 eV/atom.

=====

3.
## ScTe2SeN (meta-GGA SCAN)

Data for a PBEsol-optimized structure of ScTe2SeN.

Cell: 3.733 5.480 5.480 Å, 90.00 90.00 90.00°
Element x y z (fractional)
Te 0.000 0.500 0.000
Te 0.000 0.000 0.500
Sc 0.500 0.500 0.500
N 0.500 0.000 0.000
Se 0.000 0.000 0.000

Output
The value obtained for the volume is 22.421 Å³ per atom. The calculation puts the calculated total energy at -23.188 eV per atom. The formation energy from raw total energies is 0.434 eV/atom.

=====

4.
## ScTiSeN2 (meta-GGA SCAN)

Data for a PBEsol-optimized structure of ScTiSeN2.

Cell: 3.867 3.867 5.028 Å, 90.00 90.00 90.00°
Element x y z (fractional)
Se 0.000 0.000 0.500
Sc 0.500 0.500 0.500
N 0.000 0.500 0.000
N 0.500 0.000 0.000
Ti 0.000 0.000 0.000

Output
The value obtained for the volume is 15.040 Å³ per atom. The calculation puts the calculated total energy at -14.417 eV per atom. The formation energy from raw total energies is -0.631 eV/atom.

=====

Which formula does entry 1 have?
Sc2SeN

=====

Look up the calculated total energy of the second one.
-18.394 eV per atom

=====

What is the formation energy from raw total energies in the third record?
0.434 eV/atom